--- w ---
First-principles (GGA-PBE) data for a relaxed structure of MgB6, as listed in the Alexandria database.

Cell: 4.3006 4.3006 4.3006 Å, 109.47 109.47 109.47°
Element x y z (fractional)
Mg (0.0000, 0.0000, 0.0000)
B (0.2500, 0.5000, 0.7500)
B (0.2500, 0.7500, 0.5000)
B (0.5000, 0.2500, 0.7500)
B (0.5000, 0.7500, 0.2500)
B (0.7500, 0.2500, 0.5000)
B (0.7500, 0.5000, 0.2500)

SG ... No. 229
Total magnetic moment ... 0.00 μB per cell
Calculated volume ... 61.2 Å³ per cell

***

--- x ---
First-principles (GGA-PBE) data for a relaxed structure of MgB6, as listed in the Alexandria database.

Cell: 3.1066 3.1066 5.4447 Å, 90.00 90.00 90.00°
Element x y z (fractional)
Mg (0.0000, 0.0000, 0.0000)
B (0.0000, 0.5000, 0.3466)
B (0.0000, 0.5000, 0.6534)
B (0.5000, 0.0000, 0.3466)
B (0.5000, 0.0000, 0.6534)
B (0.5000, 0.5000, 0.1756)
B (0.5000, 0.5000, 0.8244)

SG ... No. 123
Total magnetic moment ... 0.00 μB per cell
Calculated volume ... 52.5 Å³ per cell

***

Bottom line: x, by a margin of 0.323 eV/atom.